A geometry-optimized LaPIr2 structure, computed with GGA-PBE.

Computed properties:
ΔH_f (0 K) = -0.324 eV/atom
M_tot = 0.00 μB/f.u.

Unit cell a=3.7697 b=5.4403 c=7.7369 alpha=90.00 beta=90.00 gamma=90.00
Sites, in units of the cell vectors:
La 0.0000 0.0000 0.0000
La 0.5000 0.5000 0.5000
P 0.0000 0.5000 0.2126
P 0.5000 0.0000 0.7126
Ir 0.0000 0.0000 0.5482
Ir 0.0000 0.5000 0.8121
Ir 0.5000 0.0000 0.3121
Ir 0.5000 0.5000 0.0482